Record 1
Lu2SiN | PBE | relaxed

abc: 3.391 3.391 13.855
angles: 90.00 90.00 120.00
Positions (direct):
Lu 0.333 0.667 0.094
Lu 0.333 0.667 0.406
Lu 0.667 0.333 0.594
Lu 0.667 0.333 0.906
N 0.000 0.000 0.000
N 0.000 0.000 0.500
Si 0.667 0.333 0.250
Si 0.333 0.667 0.750

Output
energy relative to the lowest polymorph listed for this composition: 20 meV per atom
magnetic moment: 0.01 μB/cell
calculated density: 9.44 Mg/m³

Record 2
CsCuTcTeSe2 | PBE | relaxed

abc: 8.690 8.690 10.203
angles: 90.00 90.00 154.73
Last column: magnetic moment on the atom in μB.
Positions (direct):
Cs 0.233 0.767 0.250  0.01
Cs 0.767 0.233 0.750  0.01
Cu 0.536 0.464 0.250  0.09
Cu 0.464 0.536 0.750  0.09
Se 0.602 0.398 0.043  0.06
Se 0.602 0.398 0.457  0.06
Se 0.398 0.602 0.543  0.06
Se 0.398 0.602 0.957  0.06
Tc 0.000 0.000 0.000  1.76
Tc 0.000 0.000 0.500  1.75
Te 0.932 0.068 0.250  -0.01
Te 0.068 0.932 0.750  -0.01

Output
magnetic moment: 4.50 μB/cell
E: -0.167 hartree per atom
calculated density: 5.86 Mg/m³

Record 3
BaCu2AsP | PBE | relaxed

abc: 4.066 4.066 7.455
angles: 90.00 90.00 120.00
Positions (direct):
As 0.000 0.000 0.702
Ba 0.333 0.667 0.012
Cu 0.000 0.000 0.374
Cu 0.667 0.333 0.609
P 0.667 0.333 0.303

Output
E: -0.157 hartree per atom
calculated density: 5.76 Mg/m³

Record 4
ZnCdSO | PBE | relaxed

abc: 3.215 5.520 6.949
angles: 90.00 76.62 90.00
Positions (direct):
Cd 0.852 0.250 0.295
Cd 0.148 0.750 0.705
O 0.000 0.000 0.000
O 0.000 0.500 0.000
S 0.801 0.750 0.397
S 0.199 0.250 0.603
Zn 0.442 0.750 0.115
Zn 0.558 0.250 0.885

Output
energy relative to the lowest polymorph listed for this composition: 422 meV per atom
calculated density: 6.25 Mg/m³

Record 5
ZrMo3 | PBE | relaxed

abc: 4.131 4.131 4.131
angles: 90.00 90.00 90.00
Positions (direct):
Mo 0.500 0.500 0.000
Mo 0.500 0.000 0.500
Mo 0.000 0.500 0.500
Zr 0.000 0.000 0.000

Output
magnetic moment: 0.13 μB/cell
ΔE_f: 478.8 meV per atom
calculated density: 8.93 Mg/m³

Record 6
NdGdSc2Ge2 | PBE | relaxed

abc: 8.483 8.483 8.483
angles: 150.72 150.72 41.88
Last column: magnetic moment on the atom in μB.
Positions (direct):
Gd 0.324 0.324 0.000  0.30
Ge 0.124 0.124 0.000  -0.02
Ge 0.875 0.875 0.000  -0.02
Nd 0.678 0.678 0.000  0.23
Sc 0.999 0.499 0.500  0.20
Sc 0.499 0.999 0.500  0.24

Output
magnetic moment: 1.69 μB/cell
E: -0.218 hartree per atom
calculated density: 6.12 Mg/m³

Record 7
AcErPO | PBE | relaxed

abc: 4.548 7.364 6.254
angles: 90.00 90.00 90.00
Positions (direct):
Ac 0.000 0.707 0.442
Ac 0.000 0.293 0.942
Er 0.500 0.880 0.010
Er 0.500 0.120 0.510
O 0.500 0.853 0.363
O 0.500 0.147 0.863
P 0.000 0.300 0.439
P 0.000 0.700 0.939

Output
energy relative to the lowest polymorph listed for this composition: 44 meV per atom
magnetic moment: 0.01 μB/cell
calculated density: 7.00 Mg/m³

Record 8
CsLuHgS3 | PBE | relaxed

abc: 8.827 4.100 10.537
angles: 90.00 112.02 90.00
Positions (direct):
Cs 0.248 0.250 0.265
Cs 0.752 0.750 0.735
Hg 0.913 0.750 0.381
Hg 0.087 0.250 0.619
Lu 0.671 0.250 0.130
Lu 0.329 0.750 0.870
S 0.473 0.750 0.135
S 0.884 0.750 0.136
S 0.762 0.250 0.431
S 0.238 0.750 0.569
S 0.116 0.250 0.864
S 0.527 0.250 0.865

Output
magnetic moment: 0.00 μB/cell
E: -0.156 hartree per atom
calculated density: 5.68 Mg/m³

Record 9
BeBiMoAs | PBE | relaxed

abc: 4.694 4.694 4.694
angles: 60.00 60.00 60.00
Positions (direct):
As 0.250 0.250 0.250
Be 0.750 0.750 0.750
Bi 0.500 0.500 0.500
Mo 0.000 0.000 0.000

Output
energy relative to the lowest polymorph listed for this composition: 106 meV per atom
magnetic moment: 1.92 μB/cell
calculated density: 8.83 Mg/m³

Record 10
DyYTl4 | PBE | relaxed

abc: 4.673 7.663 7.663
angles: 35.64 90.00 90.00
Positions (direct):
Dy 0.000 0.845 0.845
Tl 0.500 0.000 0.000
Tl 0.500 0.324 0.324
Tl 0.000 0.500 0.500
Tl 0.500 0.676 0.676
Y 0.000 0.155 0.155

Output
magnetic moment: 0.01 μB/cell
E: -0.136 hartree per atom
calculated density: 11.10 Mg/m³

Record 11
BaCuSnAu | PBE | relaxed

abc: 5.246 5.246 5.246
angles: 60.00 60.00 60.00
Positions (direct):
Au 0.750 0.750 0.750
Ba 0.000 0.000 0.000
Cu 0.250 0.250 0.250
Sn 0.500 0.500 0.500

Output
energy relative to the lowest polymorph listed for this composition: 0 meV per atom
calculated density: 8.40 Mg/m³

Record 12
Sm2NbInO6 | PBE | relaxed

abc: 5.769 5.769 5.769
angles: 60.00 60.00 60.00
Last column: magnetic moment on the atom in μB.
Positions (direct):
In 0.000 0.000 0.000  0.01
Nb 0.500 0.500 0.500  0.79
O 0.746 0.254 0.254  -0.01
O 0.746 0.746 0.254  -0.01
O 0.254 0.746 0.254  0.00
O 0.254 0.746 0.746  -0.01
O 0.254 0.254 0.746  -0.01
O 0.746 0.254 0.746  0.00
Sm 0.250 0.250 0.250  0.21
Sm 0.750 0.750 0.750  0.21

Output
magnetic moment: 1.55 μB/cell
E: -0.271 hartree per atom
calculated density: 7.39 Mg/m³